No. 1
## FeTe2W (PBE)

Data for FeTe2W after structural relaxation.

The density of states at the Fermi level comes out at 1.43 states/eV/atom. Its symmetry is I-42d (122). Its total energy is -6.0537 eV/atom. As for the formation energy without anion corrections: 0.8711 eV per atom.

a b c (Å): 5.9889 5.9889 7.0913
angles (deg): 65.02 65.02 90.00
With the nearest neighbours (Å) after each atom.
Positions (direct):
Fe (0.2500, 0.7500, 0.5000)  4 Te 2.46
Fe (0.5000, 0.5000, 0.0000)  4 Te 2.46
Te (0.5992, 0.1250, 0.2500)  2 Fe 2.46, 2 W 2.64
Te (0.1508, 0.6250, 0.2500)  2 Fe 2.46, 2 W 2.64
Te (0.3750, 0.4008, 0.7500)  2 Fe 2.46, 2 W 2.64
Te (0.8750, 0.8492, 0.7500)  2 Fe 2.46, 2 W 2.64
W (0.7500, 0.2500, 0.5000)  4 Te 2.64
W (0.0000, 0.0000, 0.0000)  4 Te 2.64


No. 2
## CuAuF4 (PBE)

Data for CuAuF4 after structural relaxation.

The density of states at the Fermi level comes out at 0.03 states/eV/atom. Its symmetry is C2/c (15). Its total energy is -3.5647 eV/atom. As for the formation energy without anion corrections: -1.0882 eV per atom.

a b c (Å): 5.5305 5.4534 6.5049
angles (deg): 113.44 113.83 92.87
With the nearest neighbours (Å) after each atom.
Positions (direct):
F (0.7644, 0.5938, 0.4885)  1 Cu 1.96, 1 Au 2.19
F (0.2241, 0.8946, 0.4885)  1 Cu 1.96, 1 Au 2.19
F (0.8975, 0.2436, 0.0243)  1 Cu 1.93
F (0.6268, 0.7807, 0.0243)  1 Cu 1.93
F (0.1025, 0.7564, 0.9757)  1 Cu 1.93
F (0.7759, 0.1054, 0.5115)  1 Cu 1.96, 1 Au 2.19
F (0.2356, 0.4062, 0.5115)  1 Cu 1.96, 1 Au 2.19
F (0.3732, 0.2193, 0.9757)  1 Cu 1.93
Cu (0.1153, 0.8653, 0.7306)  4 F 1.93-1.96
Cu (0.8847, 0.1347, 0.2694)  4 F 1.93-1.96
Au (0.6308, 0.3808, 0.7616)  4 F 2.18-2.19
Au (0.3692, 0.6192, 0.2384)  4 F 2.18-2.19


No. 3
## PrDyY2 (PBE)

Data for PrDyY2 after structural relaxation.

The density of states at the Fermi level comes out at 1.47 states/eV/atom. Its symmetry is R3m (160). Its total energy is -5.5577 eV/atom. As for the formation energy: 0.1 eV per formula unit.

a b c (Å): 3.6179 3.6179 11.8557
angles (deg): 81.22 81.22 60.00
With the nearest neighbours (Å) after each atom.
Positions (direct):
Dy (0.6664, 0.6664, 0.0008)  6 Y 3.53-3.54, 6 Dy 3.62
Y (0.2517, 0.2517, 0.2450)  3 Dy 3.53, 6 Y 3.62, 3 Pr 3.62
Y (0.0814, 0.0814, 0.7558)  3 Dy 3.54, 6 Y 3.62, 3 Pr 3.66
Pr (0.5005, 0.5005, 0.4985)  6 Pr 3.62, 6 Y 3.62-3.66


No. 4
## K3CdRe2O9 (PBE)

Data for K3CdRe2O9 after structural relaxation.

The density of states at the Fermi level comes out at 0.32 states/eV/atom. Its symmetry is P-3m1 (164). Its total energy is -6.5383 eV/atom. As for the formation energy without anion corrections: -1.6231 eV per atom.

a b c (Å): 5.7494 5.7494 7.2194
angles (deg): 90.00 90.00 120.00
With the nearest neighbours (Å) after each atom.
Positions (direct):
Re (0.6667, 0.3333, 0.8376)  6 O 1.84-2.03
Re (0.3333, 0.6667, 0.1624)  6 O 1.84-2.03
K (0.6667, 0.3333, 0.3326)  12 O 2.89-3.06
K (0.3333, 0.6667, 0.6674)  12 O 2.89-3.06
K (0.0000, 0.0000, 0.0000)  12 O 2.81-2.87
O (0.8213, 0.6427, 0.6981)  1 Re 1.84
O (0.6427, 0.8213, 0.3019)  1 Re 1.84
O (0.8213, 0.1787, 0.6981)  1 Re 1.84
O (0.5000, 0.5000, 0.0000)  2 Re 2.03
O (0.1787, 0.3573, 0.3019)  1 Re 1.84
O (0.1787, 0.8213, 0.3019)  1 Re 1.84
O (0.5000, 0.0000, 0.0000)  2 Re 2.03
O (0.0000, 0.5000, 0.0000)  2 Re 2.03
O (0.3573, 0.1787, 0.6981)  1 Re 1.84
Cd (0.0000, 0.0000, 0.5000)  6 O 2.28


No. 5
## SiAu (PBE)

Data for SiAu after structural relaxation.

The density of states at the Fermi level comes out at 0.09 states/eV/atom. Its symmetry is C2/m (12). Its total energy is -4.3746 eV/atom. As for the formation energy without anion corrections: -0.0244 eV per atom.

a b c (Å): 4.3259 5.3702 4.8760
angles (deg): 130.45 108.77 91.38
With the nearest neighbours (Å) after each atom.
Positions (direct):
Si (0.6094, 0.1437, 0.1860)  1 Si 2.39, 4 Au 2.47-2.56
Si (0.2512, 0.5021, 0.3141)  1 Si 2.39, 4 Au 2.47-2.56
Au (0.1634, 0.5896, 0.8441)  4 Si 2.47-2.56
Au (0.6972, 0.0562, 0.6560)  4 Si 2.47-2.56


No. 6
## Na2ErSbO4 (PBE)

Data for Na2ErSbO4 after structural relaxation.

Its symmetry is P2/m (10). Its total energy is -5.9510 eV/atom. As for the formation energy without anion corrections: -2.0565 eV per atom.

a b c (Å): 3.4136 5.9549 5.9351
angles (deg): 109.28 90.00 90.00
With the nearest neighbours (Å) after each atom.
Positions (direct):
O (0.0000, 0.2701, 0.7888)  2 Er 2.29, 1 Sb 2.34, 1 Na 2.52
O (0.5000, 0.2509, 0.2204)  1 Er 2.28, 2 Sb 2.36, 2 Na 2.50
O (0.0000, 0.7299, 0.2112)  2 Er 2.29, 1 Sb 2.34, 1 Na 2.52
O (0.5000, 0.7491, 0.7796)  1 Er 2.28, 2 Sb 2.36, 2 Na 2.50
Na (0.0000, 0.5000, 0.5000)  6 O 2.50-2.52
Na (0.5000, 0.0000, 0.5000)  6 O 2.57
Sb (0.0000, 0.0000, 0.0000)  6 O 2.34-2.36
Er (0.5000, 0.5000, 0.0000)  6 O 2.28-2.29


No. 7
## K3HoTm3Te8 (PBE)

Data for K3HoTm3Te8 after structural relaxation.

The density of states at the Fermi level comes out at 0.40 states/eV/atom. Its symmetry is C2/m (12). Its total energy is -4.3981 eV/atom. As for the formation energy without anion corrections: -1.3036 eV per atom.

a b c (Å): 8.6939 8.7000 9.8800
angles (deg): 116.13 90.00 119.99
With the nearest neighbours (Å) after each atom.
Positions (direct):
Te (0.7355, 0.4710, 0.7064)  3 Tm 3.06
Te (0.2378, 0.9692, 0.7068)  2 Tm 3.05, 1 Ho 3.09
Te (0.2377, 0.4754, 0.7067)  2 Tm 3.05, 1 Ho 3.09
Te (0.7622, 0.0308, 0.2932)  2 Tm 3.05, 1 Ho 3.09
Te (0.7315, 0.9692, 0.7068)  2 Tm 3.05, 1 Ho 3.09
Te (0.2645, 0.5290, 0.2936)  3 Tm 3.06
Te (0.7623, 0.5246, 0.2933)  2 Tm 3.05, 1 Ho 3.09
Te (0.2685, 0.0308, 0.2932)  2 Tm 3.05, 1 Ho 3.09
Tm (0.5000, 0.5000, 0.5000)  6 Te 3.05-3.06
Tm (0.5000, 0.0000, 0.5000)  6 Te 3.05-3.06
Tm (0.0000, 0.5000, 0.5000)  6 Te 3.05-3.06
K (0.0000, 0.5000, 0.0000)  6 Te 3.54-3.55
K (0.5000, 0.5000, 0.0000)  6 Te 3.54-3.55
K (0.0000, 0.0000, 0.0000)  6 Te 3.54-3.55
Ho (0.0000, 0.0000, 0.5000)  6 Te 3.09


No. 8
## Ca2WCl (PBE)

Data for Ca2WCl after structural relaxation.

The density of states at the Fermi level comes out at 0.59 states/eV/atom. Its symmetry is R-3m (166). Its total energy is -4.7854 eV/atom. As for the formation energy without anion corrections: -0.0846 eV per atom.

a b c (Å): 9.3040 9.3040 9.3040
angles (deg): 20.97 20.97 20.97
With the nearest neighbours (Å) after each atom.
Positions (direct):
Cl (0.2500, 0.2500, 0.2500)  6 Ca 2.93
Ca (0.5036, 0.5036, 0.5036)  3 Cl 2.93, 3 W 3.07
Ca (0.9964, 0.9964, 0.9964)  3 Cl 2.93, 3 W 3.07
W (0.7500, 0.7500, 0.7500)  6 Ca 3.07, 6 W 3.39


No. 9
## Sr2Mg2As3 (PBE)

Data for Sr2Mg2As3 after structural relaxation.

The density of states at the Fermi level comes out at 0.00 states/eV/atom. Its symmetry is C2/m (12). Its total energy is -3.9056 eV/atom. As for the formation energy: -6.8 eV per formula unit.

a b c (Å): 4.4598 8.5754 10.3350
angles (deg): 81.69 77.54 74.93
With the nearest neighbours (Å) after each atom.
Positions (direct):
As (0.1544, 0.4965, 0.1947)  3 Mg 2.64-2.69
As (0.8456, 0.5035, 0.8053)  3 Mg 2.64-2.69
As (0.3823, 0.7697, 0.4657)  4 Mg 2.69-2.79
As (0.0754, 0.9711, 0.8781)  1 As 2.55, 1 Mg 2.80
As (0.9246, 0.0289, 0.1219)  1 As 2.55, 1 Mg 2.80
As (0.6177, 0.2303, 0.5343)  4 Mg 2.69-2.79
Sr (0.6125, 0.7367, 0.0382)  7 As 3.18-3.45
Sr (0.2694, 0.1297, 0.3316)  6 As 3.16-3.24
Sr (0.7306, 0.8703, 0.6684)  6 As 3.16-3.24
Sr (0.3875, 0.2633, 0.9618)  7 As 3.18-3.45
Mg (0.5878, 0.4804, 0.3440)  4 As 2.69-2.79
Mg (0.9595, 0.7642, 0.3168)  4 As 2.64-2.80
Mg (0.4122, 0.5196, 0.6560)  4 As 2.69-2.79
Mg (0.0405, 0.2358, 0.6832)  4 As 2.64-2.80


No. 10
## BeReAs2 (PBE)

Data for BeReAs2 after structural relaxation.

The density of states at the Fermi level comes out at 0.75 states/eV/atom. Its symmetry is F-43m (216). Its total energy is -5.6278 eV/atom. As for the formation energy: 3.0 eV per formula unit.

a b c (Å): 4.3597 4.3597 4.3597
angles (deg): 60.00 60.00 60.00
With the nearest neighbours (Å) after each atom.
Positions (direct):
Be (0.5000, 0.5000, 0.5000)  4 As 2.67, 4 Re 2.67
Re (0.7500, 0.7500, 0.7500)  4 As 2.67, 4 Be 2.67
As (0.0000, 0.0000, 0.0000)  4 As 2.67, 4 Re 2.67
As (0.2500, 0.2500, 0.2500)  4 As 2.67, 4 Be 2.67


No. 11
## Rb2Cd2IO6 (PBE)

Data for Rb2Cd2IO6 after structural relaxation.

The density of states at the Fermi level comes out at 0.34 states/eV/atom. Its symmetry is C2/m (12). Its total energy is -4.1409 eV/atom. As for the formation energy without anion corrections: -0.9532 eV per atom.

a b c (Å): 5.8516 5.8516 6.9475
angles (deg): 99.31 99.31 118.60
With the nearest neighbours (Å) after each atom.
Positions (direct):
Cd (0.6642, 0.3358, 0.5000)  6 O 2.36-2.43
Cd (0.3358, 0.6642, 0.5000)  6 O 2.36-2.43
O (0.6493, 0.9428, 0.3288)  1 I 2.04
O (0.3507, 0.0572, 0.6712)  1 I 2.04
O (0.9428, 0.6493, 0.3288)  1 I 2.04
O (0.0572, 0.3507, 0.6712)  1 I 2.04
O (0.7749, 0.7749, 0.6686)  1 I 2.04
O (0.2251, 0.2251, 0.3314)  1 I 2.04
Rb (0.8246, 0.1754, 0.0000)  6 O 2.87-3.00
Rb (0.1754, 0.8246, 0.0000)  6 O 2.87-3.00
I (0.0000, 0.0000, 0.5000)  6 O 2.04


No. 12
## TbNd6Tl4 (PBE)

Data for TbNd6Tl4 after structural relaxation.

The density of states at the Fermi level comes out at 1.24 states/eV/atom. Its symmetry is I-42m (121). Its total energy is -3.9393 eV/atom. As for the formation energy: -0.6 eV per formula unit.

a b c (Å): 8.2821 8.2821 8.2821
angles (deg): 85.95 122.36 122.36
With the nearest neighbours (Å) after each atom.
Positions (direct):
Tl (0.3331, 0.7360, 0.7360)  5 Nd 3.08-3.34, 2 Tl 3.15
Tl (0.0000, 0.5970, 0.2640)  5 Nd 3.08-3.34, 2 Tl 3.15
Tl (0.6669, 0.4030, 0.4030)  5 Nd 3.08-3.34, 2 Tl 3.15
Tl (0.0000, 0.2640, 0.5970)  5 Nd 3.08-3.34, 2 Tl 3.15
Nd (0.0000, 0.9035, 0.5275)  3 Tl 3.08-3.34
Nd (0.6239, 0.0965, 0.0965)  3 Tl 3.08-3.34
Nd (0.5000, 0.5000, 0.0000)  4 Tl 3.09
Nd (0.3761, 0.4725, 0.4725)  3 Tl 3.08-3.34
Nd (0.0000, 0.5275, 0.9035)  3 Tl 3.08-3.34
Nd (0.5000, 0.0000, 0.5000)  4 Tl 3.09
Tb (0.0000, 0.0000, 0.0000)  4 Tl 3.86, 8 Nd 3.99-4.05